Mg3TcGe (PBE, relaxed); E = -3.03 eV/atom; ΔE_f = 923 meV per atom; polymorph energy (0 for the lowest one) = 0.015 eV/atom; total magnetization = 0.00 Bohr magnetons per cell
1.0
4.9872 0.0000 0.0000
0.0000 4.9872 0.0000
0.0000 0.0000 4.9872
Mg Tc Ge
3 1 1
Cartesian
0.0000 0.0000 2.4936 Mg
0.0000 2.4936 0.0000 Mg
2.4936 0.0000 0.0000 Mg
0.0000 0.0000 0.0000 Tc
2.4936 2.4936 2.4936 Ge